## HgMoBrO4 (GGA+U)

Data for HgMoBrO4 after structural relaxation.

Unit cell a=6.182 b=6.182 c=8.202 alpha=104.73 beta=104.73 gamma=72.64
Sites, in units of the cell vectors:
Hg  0.221  0.221  0.201
Hg  0.779  0.779  0.799
Mo  0.377  0.377  0.745
Mo  0.623  0.623  0.255
Br  0.033  0.033  0.777
Br  0.967  0.967  0.223
O  0.090  0.487  0.802
O  0.345  0.345  0.523
O  0.434  0.434  0.153
O  0.487  0.090  0.802
O  0.513  0.910  0.198
O  0.566  0.566  0.847
O  0.655  0.655  0.477
O  0.910  0.513  0.198

## Properties
- ρ (Mg/m³) = 5.15
- D(E_F) (states/eV per atom) = 0.70
- E_tot (eV per atom) = -4.957